# 1
AcNdZn4 | PBE-GGA | optimized geometry

Values from the calculation:
- SG: No. 119
- Excess energy over the best structure of this formula in the dataset: 0 meV/atom

abc: 8.359 8.359 8.359
angles: 149.93 149.93 43.05
Positions (direct):
Ac 0.000 0.000 0.000
Nd 0.250 0.750 0.500
Zn 0.413 0.413 0.000
Zn 0.587 0.587 0.000
Zn 0.671 0.171 0.500
Zn 0.829 0.329 0.500



# 2
AcNd5Zn6 | PBE-GGA | optimized geometry

Values from the calculation:
- SG: No. 65
- Total DFT energy (no corrections): -3.2532 eV/atom

abc: 8.333 8.333 7.461
angles: 90.00 90.00 143.24
Positions (direct):
Ac 0.000 0.000 0.000
Nd 0.000 0.000 0.500
Nd 0.332 0.668 0.000
Nd 0.335 0.665 0.500
Nd 0.665 0.335 0.500
Nd 0.668 0.332 0.000
Zn 0.171 0.829 0.257
Zn 0.171 0.829 0.743
Zn 0.500 0.500 0.262
Zn 0.500 0.500 0.738
Zn 0.829 0.171 0.257
Zn 0.829 0.171 0.743



# 3
AcNd5Zn4 | PBE-GGA | optimized geometry

Values from the calculation:
- SG: No. 123
- Total DFT energy (no corrections): -3.5439 eV/atom

abc: 3.720 3.720 20.160
angles: 90.00 90.00 90.00
Positions (direct):
Ac 0.000 0.000 0.000
Nd 0.500 0.500 0.140
Nd 0.500 0.500 0.320
Nd 0.500 0.500 0.500
Nd 0.500 0.500 0.680
Nd 0.500 0.500 0.860
Zn 0.000 0.000 0.229
Zn 0.000 0.000 0.409
Zn 0.000 0.000 0.591
Zn 0.000 0.000 0.771



# 4
Ac2NdZn5 | PBE-GGA | optimized geometry

Values from the calculation:
- SG: No. 139
- Total DFT energy (no corrections): -2.6253 eV/atom

abc: 8.294 8.294 8.294
angles: 143.73 143.73 52.23
Positions (direct):
Ac 0.229 0.229 0.000
Ac 0.771 0.771 0.000
Nd 0.500 0.500 0.000
Zn 0.000 0.000 0.000
Zn 0.104 0.604 0.500
Zn 0.396 0.896 0.500
Zn 0.604 0.104 0.500
Zn 0.896 0.396 0.500



# 5
Ac3Nd2Zn2 | PBE-GGA | optimized geometry

Values from the calculation:
- SG: No. 65
- Total DFT energy (no corrections): -3.5363 eV/atom

abc: 16.520 16.520 3.817
angles: 90.00 90.00 166.64
Positions (direct):
Ac 0.000 0.000 0.000
Ac 0.122 0.878 0.000
Ac 0.878 0.122 0.000
Nd 0.296 0.704 0.500
Nd 0.704 0.296 0.500
Zn 0.439 0.561 0.500
Zn 0.561 0.439 0.500



# 6
Ac2NdZn2 | PBE-GGA | optimized geometry

Values from the calculation:
- SG: No. 11
- Excess energy over the best structure of this formula in the dataset: 77 meV/atom

abc: 4.986 4.587 14.041
angles: 90.00 99.56 90.00
Positions (direct):
Ac 0.053 0.250 0.113
Ac 0.264 0.750 0.530
Ac 0.736 0.250 0.470
Ac 0.947 0.750 0.887
Nd 0.368 0.250 0.734
Nd 0.632 0.750 0.266
Zn 0.173 0.250 0.337
Zn 0.478 0.250 0.953
Zn 0.522 0.750 0.047
Zn 0.827 0.750 0.663



# 7
AcNdZn4 | PBE-GGA | optimized geometry

Values from the calculation:
- SG: No. 216
- Excess energy over the best structure of this formula in the dataset: 10 meV/atom

abc: 5.711 5.711 5.711
angles: 60.00 60.00 60.00
Positions (direct):
Ac 0.000 0.000 0.000
Nd 0.750 0.750 0.750
Zn 0.377 0.377 0.377
Zn 0.377 0.377 0.870
Zn 0.377 0.870 0.377
Zn 0.870 0.377 0.377



# 8
AcNd2Zn | PBE-GGA | optimized geometry

Values from the calculation:
- SG: No. 123
- Excess energy over the best structure of this formula in the dataset: 0 meV/atom

abc: 3.767 3.767 9.045
angles: 90.00 90.00 90.00
Positions (direct):
Ac 0.000 0.000 0.000
Nd 0.500 0.500 0.303
Nd 0.500 0.500 0.697
Zn 0.000 0.000 0.500



# 9
Ac3NdZn | PBE-GGA | optimized geometry

Values from the calculation:
- SG: No. 12
- Total DFT energy (no corrections): -3.6653 eV/atom

abc: 12.856 12.856 7.626
angles: 97.90 97.90 17.90
Positions (direct):
Ac 0.013 0.013 0.245
Ac 0.159 0.159 0.522
Ac 0.378 0.378 0.002
Ac 0.622 0.622 0.998
Ac 0.841 0.841 0.478
Ac 0.987 0.987 0.755
Nd 0.244 0.244 0.179
Nd 0.756 0.756 0.821
Zn 0.438 0.438 0.439
Zn 0.562 0.562 0.561



# 10
Ac2NdZr | PBE-GGA | optimized geometry

Values from the calculation:
- SG: No. 166
- Total DFT energy (no corrections): -4.9191 eV/atom

abc: 12.909 12.909 12.909
angles: 16.12 16.12 16.12
Positions (direct):
Ac 0.084 0.084 0.084
Ac 0.916 0.916 0.916
Nd 0.500 0.500 0.500
Zr 0.000 0.000 0.000



# 11
Ac3Ni | PBE-GGA | optimized geometry

Values from the calculation:
- SG: No. 25
- Excess energy over the best structure of this formula in the dataset: 179 meV/atom

abc: 3.890 3.923 9.922
angles: 90.00 90.00 90.00
Positions (direct):
Ac 0.000 0.000 0.000
Ac 0.000 0.500 0.347
Ac 0.500 0.500 0.704
Ni 0.500 0.000 0.226



# 12
AcNi6 | PBE-GGA | optimized geometry

Values from the calculation:
- SG: No. 229
- Excess energy over the best structure of this formula in the dataset: 358 meV/atom

abc: 5.452 5.452 5.452
angles: 109.47 109.47 109.47
Positions (direct):
Ac 0.000 0.000 0.000
Ni 0.250 0.500 0.750
Ni 0.250 0.750 0.500
Ni 0.500 0.250 0.750
Ni 0.500 0.750 0.250
Ni 0.750 0.250 0.500
Ni 0.750 0.500 0.250